# 1
DFT (PBE) results for Hf3CF after structural relaxation.

uncorrected energy = -8.2970 eV/atom
D(E_F) = 1.19 states/eV/atom
energy relative to the lowest polymorph listed for this composition = 0 meV per atom
formation energy without anion corrections = -0.1059 eV/atom
crystal system = cubic

abc: 4.4841 4.4841 4.4841
angles: 90.00 90.00 90.00
Atoms (fractional coordinates):
1 F 0.5000 0.5000 0.5000
2 C 0.0000 0.0000 0.0000
3 Hf 0.0000 0.5000 0.0000
4 Hf 0.5000 0.0000 0.0000
5 Hf 0.0000 0.0000 0.5000

# 2
DFT (PBE) results for BeCo2Cu after structural relaxation.

uncorrected energy = -5.4627 eV/atom
D(E_F) = 1.04 states/eV/atom
formation energy = 0.0458 eV per atom
crystal system = monoclinic

abc: 3.5542 2.4501 5.1354
angles: 69.18 90.00 90.00
Site moments in Bohr magnetons follow the coordinates.
Atoms (fractional coordinates):
1 Co 0.0000 0.5393 0.5185  1.41
2 Co 0.0000 0.9607 0.9815  1.41
3 Be 0.5000 0.7500 0.7500  -0.05
4 Cu 0.5000 0.2500 0.2500  0.08